1.
Density functional theory data (PBE) for a relaxed structure of ScZnIn.

abc: 5.688 5.688 5.688
angles: 132.65 89.32 109.53
Atoms (fractional coordinates):
Sc (0.000, 0.000, 0.000)
Sc (0.493, 0.493, 0.000)
Zn (0.092, 0.746, 0.346)
Zn (0.400, 0.746, 0.654)
In (0.572, 0.247, 0.325)
In (0.922, 0.247, 0.675)

Density of states at the Fermi level (states/eV per cell): 4.59
ρ (g/cm3): 6.165
ΔE_f (eV/f.u.): -1.037

---

2.
Density functional theory data (PBE) for a relaxed structure of LiSiSe2.

abc: 4.954 4.954 7.421
angles: 90.00 90.00 139.55
Atoms (fractional coordinates):
Li (0.000, 0.000, 0.000)
Si (0.000, 0.000, 0.500)
Se (0.500, 0.500, 0.268)
Se (0.500, 0.500, 0.732)

E (eV per atom): -3.849
Density of states at the Fermi level (states/eV per cell): 0.97
ρ (g/cm3): 2.712

---

3.
Density functional theory data (PBE) for a relaxed structure of AgOsF5.

abc: 5.814 5.814 7.743
angles: 106.63 106.63 73.90
Atoms (fractional coordinates):
Ag (0.023, 0.977, 0.750)
Ag (0.977, 0.023, 0.250)
Os (0.500, 0.500, 0.000)
Os (0.500, 0.500, 0.500)
F (0.180, 0.735, 0.012)
F (0.228, 0.342, 0.389)
F (0.265, 0.820, 0.488)
F (0.342, 0.228, 0.889)
F (0.413, 0.587, 0.750)
F (0.587, 0.413, 0.250)
F (0.658, 0.772, 0.111)
F (0.735, 0.180, 0.512)
F (0.772, 0.658, 0.611)
F (0.820, 0.265, 0.988)

E (eV per atom): -4.782
Density of states at the Fermi level (states/eV per cell): 5.31
ρ (g/cm3): 5.559

---

4.
Density functional theory data (PBE) for a relaxed structure of Na2PaCl8.

abc: 10.630 10.630 7.017
angles: 106.54 106.54 25.88
Atoms (fractional coordinates):
Na (0.193, 0.193, 0.294)
Na (0.807, 0.807, 0.706)
Pa (0.500, 0.500, 0.500)
Cl (0.014, 0.014, 0.725)
Cl (0.242, 0.242, 0.703)
Cl (0.385, 0.385, 0.231)
Cl (0.415, 0.415, 0.716)
Cl (0.585, 0.585, 0.284)
Cl (0.615, 0.615, 0.769)
Cl (0.758, 0.758, 0.297)
Cl (0.986, 0.986, 0.275)

Energy relative to the lowest polymorph listed for this composition (eV per atom): 0.016
Density of states at the Fermi level (states/eV per cell): 9.95
ρ (g/cm3): 2.813

---

5.
Density functional theory data (PBE) for a relaxed structure of Li3Ag8.

abc: 5.784 5.784 5.784
angles: 87.53 87.53 87.53
Atoms (fractional coordinates):
Li (0.000, 0.500, 0.500)
Li (0.500, 0.000, 0.500)
Li (0.500, 0.500, 0.000)
Ag (0.107, 0.686, 0.865)
Ag (0.135, 0.893, 0.314)
Ag (0.314, 0.135, 0.893)
Ag (0.371, 0.371, 0.371)
Ag (0.629, 0.629, 0.629)
Ag (0.686, 0.865, 0.107)
Ag (0.865, 0.107, 0.686)
Ag (0.893, 0.314, 0.135)

Energy relative to the lowest polymorph listed for this composition (eV per atom): 0.274
Density of states at the Fermi level (states/eV per cell): 3.56
ρ (g/cm3): 7.604
ΔE_f (eV/f.u.): 1.452

---

6.
Density functional theory data (PBE) for a relaxed structure of CsCaMgF6.

abc: 7.487 7.487 7.487
angles: 118.04 115.74 95.49
Atoms (fractional coordinates):
Cs (0.356, 0.106, 0.250)
Cs (0.644, 0.894, 0.750)
Ca (0.000, 0.500, 0.500)
Ca (0.500, 0.500, 0.000)
Mg (0.000, 0.000, 0.500)
Mg (0.000, 0.500, 0.000)
F (0.039, 0.289, 0.750)
F (0.062, 0.362, 0.184)
F (0.062, 0.878, 0.700)
F (0.322, 0.122, 0.684)
F (0.322, 0.638, 0.200)
F (0.349, 0.599, 0.750)
F (0.651, 0.401, 0.250)
F (0.678, 0.362, 0.800)
F (0.678, 0.878, 0.316)
F (0.938, 0.122, 0.300)
F (0.938, 0.638, 0.816)
F (0.961, 0.711, 0.250)

E (eV per atom): -4.809
Density of states at the Fermi level (states/eV per cell): 16.42
ρ (g/cm3): 3.345

---

7.
Density functional theory data (PBE) for a relaxed structure of Er3Mg2Pt3.

abc: 10.688 10.688 10.688
angles: 161.71 153.47 32.42
Atoms (fractional coordinates):
Er (0.000, 0.000, 0.000)
Er (0.381, 0.881, 0.500)
Er (0.619, 0.119, 0.500)
Mg (0.228, 0.228, 0.000)
Mg (0.772, 0.772, 0.000)
Pt (0.119, 0.619, 0.500)
Pt (0.500, 0.500, 0.000)
Pt (0.881, 0.381, 0.500)

Energy relative to the lowest polymorph listed for this composition (eV per atom): 0.121
Density of states at the Fermi level (states/eV per cell): 3.71
ρ (g/cm3): 11.028
ΔE_f (eV/f.u.): -7.415

---

8.
Density functional theory data (PBE) for a relaxed structure of NiSbPd3.

abc: 4.594 4.594 4.594
angles: 90.00 90.00 90.00
Atoms (fractional coordinates):
Ni (0.000, 0.000, 0.000)
Sb (0.500, 0.500, 0.500)
Pd (0.000, 0.000, 0.500)
Pd (0.000, 0.500, 0.000)
Pd (0.500, 0.000, 0.000)

Energy relative to the lowest polymorph listed for this composition (eV per atom): 0.580
Density of states at the Fermi level (states/eV per cell): 8.83
ρ (g/cm3): 8.557